(1)
Compound: AcPrInGa
Source: Alexandria via LeMat-Bulk
Functional: PBE
Structure: relaxed

Cell: 7.867 7.867 7.867 Å, 90.00 90.00 90.00°
Space group F-43m (No. 216)
Symmetry-distinct sites (fractional):
Ac  0.000  0.000  0.000
Pr  0.000  0.000  0.500
In  0.250  0.250  0.750
Ga  0.250  0.250  0.250

Output
- energy of formation from the pure elements (meV per atom) = -431
- energy (eV/f.u.) = -16.4

(2)
Compound: AcPr2In2Ga2
Source: Alexandria via LeMat-Bulk
Functional: PBE
Structure: relaxed

Cell: 4.6954 4.6954 32.2176 Å, 90.00 90.00 120.00°
Space group R-3m (No. 166, hexagonal axes)
Symmetry-distinct sites (fractional):
Ac  0.0000  0.0000  0.0000
Pr  0.0000  0.0000  0.1315
In  0.0000  0.0000  0.2660
Ga  0.0000  0.0000  0.4196

Output
- energy of formation from the pure elements (meV per atom) = -350
- energy (eV/f.u.) = -27.7

(3)
Compound: AcInGa2Pt4
Source: Alexandria via LeMat-Bulk
Functional: PBE
Structure: relaxed

Cell: 4.3473 4.3473 29.4145 Å, 90.00 90.00 120.00°
Space group R-3m (No. 166, hexagonal axes)
Symmetry-distinct sites (fractional):
Ac  0.0000  0.0000  0.0000
In  0.0000  0.0000  0.5000
Ga  0.0000  0.0000  0.2459
Pt  0.0000  0.0000  0.1188
Pt  0.0000  0.0000  0.4023

Output
- energy of formation from the pure elements (meV per atom) = -718
- energy (eV/f.u.) = -42.8

Q: energy of formation from the pure elements of number 3 (AcInGa2Pt4)?
A: -718 meV per atom

Q: Which of these has the highest energy?
A: AcPrInGa